1.
Material: CaSmTlBi
Method: DFT, PBE
State: relaxed

Summary:
* ρ: 8.3 g/cm3
* magnetization: 0.00 μB per formula unit
* energy relative to the elements: -1.922 eV/f.u.
* raw total energy: -14.89 eV/cell
* DOS(E_F): 3.492 states/eV/cell

Cell lengths 5.552, 5.552, 5.552 Å; angles 60.00, 60.00, 60.00 degrees
Element x y z (fractional)
Sm  0.750  0.750  0.750
Bi  0.500  0.500  0.500
Ca  0.250  0.250  0.250
Tl  0.000  0.000  0.000


2.
Material: K2CdTe2O6
Method: DFT, PBE
State: relaxed

Summary:
* ρ: 4.5 g/cm3
* magnetization: 0.00 μB per formula unit
* raw total energy: -52.85 eV/cell
* DOS(E_F): 0.000 states/eV/cell
* raw formation energy: -1.246 eV/atom

Cell lengths 6.282, 5.615, 7.371 Å; angles 107.34, 90.00, 124.01 degrees
Element x y z (fractional)
K  0.693  0.386  0.124
Te  0.904  0.808  0.747
O  0.749  0.499  0.500
O  0.251  0.501  0.500
Cd  0.500  0.000  0.500
O  0.271  0.070  0.755
O  0.799  0.070  0.755
K  0.307  0.614  0.876
O  0.729  0.930  0.245
O  0.201  0.930  0.245
Te  0.096  0.192  0.253